Entry 1:
First-principles (GGA+U) data for Sm5V2O12 after structural relaxation, as listed in the Alexandria database.

```
data_Sm5V2O12
_cell_length_a 6.910
_cell_length_b 6.910
_cell_length_c 7.526
_cell_angle_alpha 105.76
_cell_angle_beta 105.76
_cell_angle_gamma 50.44
_symmetry_space_group_name_H-M 'P 1'
_symmetry_Int_Tables_number 1
loop_
_symmetry_equiv_pos_as_xyz
'x,y,z'
loop_
_atom_site_label
_atom_site_fract_x
_atom_site_fract_y
_atom_site_fract_z
_atom_site_occupancy
Sm1 0.000 0.000 0.000 1
Sm2 0.308 0.308 0.143 1
Sm3 0.310 0.310 0.668 1
Sm4 0.690 0.690 0.332 1
Sm5 0.692 0.692 0.857 1
V1 0.232 0.768 0.500 1
V2 0.768 0.232 0.500 1
O1 0.001 0.001 0.682 1
O2 0.096 0.595 0.922 1
O3 0.099 0.588 0.423 1
O4 0.405 0.904 0.078 1
O5 0.412 0.901 0.577 1
O6 0.500 0.500 0.328 1
O7 0.500 0.500 0.672 1
O8 0.588 0.099 0.423 1
O9 0.595 0.096 0.922 1
O10 0.901 0.412 0.577 1
O11 0.904 0.405 0.078 1
O12 0.999 0.999 0.318 1
```

Entry 2:
# Sm4V6O19 GGA+U relaxed
# - D(E_F) (states/eV/atom) = 0.291
data_Sm4V6O19
_cell_length_a 7.580
_cell_length_b 7.580
_cell_length_c 7.580
_cell_angle_alpha 109.47
_cell_angle_beta 109.47
_cell_angle_gamma 109.47
_symmetry_space_group_name_H-M 'P 1'
_symmetry_Int_Tables_number 1
loop_
_symmetry_equiv_pos_as_xyz
'x,y,z'
loop_
_atom_site_label
_atom_site_fract_x
_atom_site_fract_y
_atom_site_fract_z
_atom_site_occupancy
Sm1 0.000 0.000 0.323 1
Sm2 0.000 0.323 0.000 1
Sm3 0.323 0.000 0.000 1
Sm4 0.677 0.677 0.677 1
V1 0.165 0.500 0.665 1
V2 0.335 0.835 0.500 1
V3 0.500 0.335 0.835 1
V4 0.500 0.665 0.165 1
V5 0.665 0.165 0.500 1
V6 0.835 0.500 0.335 1
O1 0.000 0.000 0.000 1
O2 0.000 0.356 0.356 1
O3 0.000 0.644 0.644 1
O4 0.025 0.670 0.273 1
O5 0.248 0.645 0.975 1
O6 0.273 0.025 0.670 1
O7 0.330 0.355 0.603 1
O8 0.355 0.603 0.330 1
O9 0.356 0.000 0.356 1
O10 0.356 0.356 0.000 1
O11 0.397 0.752 0.727 1
O12 0.603 0.330 0.355 1
O13 0.644 0.000 0.644 1
O14 0.644 0.644 0.000 1
O15 0.645 0.975 0.248 1
O16 0.670 0.273 0.025 1
O17 0.727 0.397 0.752 1
O18 0.752 0.727 0.397 1
O19 0.975 0.248 0.645 1

In the order shown, the computed spin magnetization values come out to 1.00, 4.00 Bohr magnetons per cell.
In the order shown, the computed final energy values come out to -155.12, -228.62 eV per formula unit.